Record 1
Compound: CsRbZnGeOs
Source: the Alexandria database
Functional: GGA-PBE
Structure: relaxed

The structure in POSCAR format:
```
CsRbZnGeOs
1.0
6.603 -2.365 0.000
6.603 2.365 0.000
-1.895 0.000 6.177
Cs Rb Zn Ge Os
1 1 1 1 1
direct
0.000 0.000 0.000
0.211 0.211 0.623
0.442 0.442 0.427
0.751 0.751 0.175
0.898 0.898 0.455
```

Output
- Energy: -16.4 eV per cell
- Distance to the lowest polymorph of the same formula: 131 kJ/mol of formula units
- SG: No. 8
- Calculated volume: 38.57 A^3/atom
- Formation energy from the elements: 0.50 eV per atom
- Theoretical density: 4.7 Mg/m³

Record 2
Compound: Rb3NdNp2Te6
Source: the Alexandria database
Functional: GGA-PBE
Structure: relaxed

The structure in POSCAR format:
```
Rb3NdNp2Te6
1.0
3.998 -6.925 0.000
3.998 6.925 0.000
-2.666 0.000 8.550
Rb Nd Np Te
3 1 2 6
direct
0.000 0.000 0.000
0.335 0.665 0.000
0.665 0.335 0.000
0.500 0.500 0.500
0.167 0.833 0.500
0.833 0.167 0.500
0.095 0.432 0.298
0.229 0.229 0.702
0.432 0.095 0.298
0.568 0.905 0.702
0.771 0.771 0.298
0.905 0.568 0.702
```

Output
- Energy: -65.0 eV per cell
- SG: No. 12
- Calculated volume: 39.46 A^3/atom
- Formation energy (no corrections): -1.0519 eV/atom
- Theoretical density: 5.8 Mg/m³

Record 3
Compound: MgTi3
Source: the Alexandria database
Functional: GGA-PBE
Structure: relaxed

The structure in POSCAR format:
```
MgTi3
1.0
-1.445 4.793 2.606
1.445 -4.793 2.606
1.445 4.793 -2.606
Mg Ti
1 3
direct
0.000 0.000 0.000
0.078 0.326 0.752
0.487 0.987 0.500
0.573 0.326 0.248
```

Output
- Energy: -24.7 eV per cell
- SG: No. 44
- Calculated volume: 18.05 A^3/atom
- Formation energy from the elements: 0.14 eV per atom
- Theoretical density: 3.9 Mg/m³

Record 4
Compound: CuHg2Pd2
Source: the Alexandria database
Functional: GGA-PBE
Structure: relaxed

The structure in POSCAR format:
```
CuHg2Pd2
1.0
4.422 0.000 0.000
-2.211 3.830 0.000
0.000 0.000 10.568
Cu Hg Pd
2 4 4
direct
0.000 0.000 0.250
0.000 0.000 0.750
0.333 0.667 0.107
0.333 0.667 0.393
0.667 0.333 0.607
0.667 0.333 0.893
0.000 0.000 0.000
0.000 0.000 0.500
0.333 0.667 0.750
0.667 0.333 0.250
```

Output
- Energy: -30.4 eV per cell
- Distance to the lowest polymorph of the same formula: 5 kJ/mol of formula units
- SG: No. 194
- Calculated volume: 17.90 A^3/atom
- Formation energy from the elements: -0.02 eV per atom
- Theoretical density: 12.6 Mg/m³

Record 5
Compound: Tb3Pm2Dy6Sc
Source: the Alexandria database
Functional: GGA-PBE
Structure: relaxed

The structure in POSCAR format:
```
Tb3Pm2Dy6Sc
1.0
3.065 -5.307 0.000
3.065 5.307 0.000
-2.036 0.000 11.575
Tb Pm Dy Sc
3 2 6 1
direct
0.000 0.000 0.000
0.334 0.666 0.000
0.666 0.334 0.000
0.166 0.834 0.500
0.834 0.166 0.500
0.087 0.417 0.251
0.253 0.253 0.750
0.417 0.087 0.251
0.583 0.913 0.749
0.747 0.747 0.250
0.913 0.583 0.749
0.500 0.500 0.500
```

Output
- Energy: -57.1 eV per cell
- SG: No. 12
- Calculated volume: 31.39 A^3/atom
- Formation energy from the elements: 0.02 eV per atom
- Theoretical density: 7.9 Mg/m³

Record 6
Compound: KPAu2S4
Source: the Alexandria database
Functional: GGA-PBE
Structure: relaxed

The structure in POSCAR format:
```
KPAu2S4
1.0
-3.083 4.088 4.195
3.083 -4.088 4.195
3.083 4.088 -4.195
K P Au S
1 1 2 4
direct
0.000 0.000 0.000
0.500 0.500 0.000
0.324 0.824 0.500
0.676 0.176 0.500
0.199 0.172 0.663
0.491 0.828 0.028
0.509 0.536 0.337
0.801 0.464 0.972
```

Output
- Energy: -33.0 eV per cell
- SG: No. 23
- Calculated volume: 26.43 A^3/atom
- Formation energy (no corrections): -0.4322 eV/atom
- Theoretical density: 4.7 Mg/m³

Record 7
Compound: As2PtRh
Source: the Alexandria database
Functional: GGA-PBE
Structure: relaxed

The structure in POSCAR format:
```
As2PtRh
1.0
2.949 0.000 0.000
0.000 3.050 0.000
0.000 0.000 7.514
As Pt Rh
2 1 1
direct
0.000 0.000 0.218
0.000 0.000 0.782
0.500 0.000 0.500
0.500 0.500 0.000
```

Output
- Energy: -23.1 eV per cell
- Distance to the lowest polymorph of the same formula: 63 kJ/mol of formula units
- SG: No. 47
- Calculated volume: 16.89 A^3/atom
- Formation energy from the elements: -0.10 eV per atom
- Theoretical density: 11.0 Mg/m³

Record 8
Compound: Mg3TiFe
Source: the Alexandria database
Functional: GGA-PBE
Structure: relaxed

The structure in POSCAR format:
```
Mg3TiFe
1.0
4.684 0.000 0.000
0.000 4.684 0.000
0.000 0.000 4.684
Mg Ti Fe
3 1 1
direct
0.000 0.000 0.500
0.000 0.500 0.000
0.500 0.000 0.000
0.500 0.500 0.500
0.000 0.000 0.000
```

Output
- Energy: -17.1 eV per cell
- Distance to the lowest polymorph of the same formula: 0 kJ/mol of formula units
- SG: No. 221
- Calculated volume: 20.56 A^3/atom
- Formation energy from the elements: 0.81 eV per atom
- Theoretical density: 2.9 Mg/m³

Record 9
Compound: DyMgIrO6
Source: the Alexandria database
Functional: GGA-PBE
Structure: relaxed

The structure in POSCAR format:
```
DyMgIrO6
1.0
5.421 0.000 0.000
-2.710 4.695 0.000
0.000 0.000 8.679
Dy Mg Ir O
2 2 2 12
direct
0.333 0.667 0.250
0.667 0.333 0.750
0.000 0.000 0.000
0.000 0.000 0.500
0.333 0.667 0.750
0.667 0.333 0.250
0.046 0.365 0.625
0.046 0.681 0.875
0.319 0.365 0.875
0.319 0.954 0.625
0.365 0.046 0.125
0.365 0.319 0.375
0.635 0.681 0.625
0.635 0.954 0.875
0.681 0.046 0.375
0.681 0.635 0.125
0.954 0.319 0.125
0.954 0.635 0.375
```

Output
- Energy: -121.0 eV per cell
- SG: No. 163
- Calculated volume: 12.27 A^3/atom
- Formation energy (no corrections): -1.7447 eV/atom
- Theoretical density: 7.1 Mg/m³

Record 10
Compound: LaMo2Au
Source: the Alexandria database
Functional: GGA-PBE
Structure: relaxed

The structure in POSCAR format:
```
LaMo2Au
1.0
3.488 0.000 0.000
0.000 4.999 0.000
-0.257 0.000 4.898
La Mo Au
1 2 1
direct
0.000 0.000 0.000
0.326 0.500 0.790
0.674 0.500 0.210
0.500 0.000 0.500
```

Output
- Energy: -28.2 eV per cell
- Distance to the lowest polymorph of the same formula: 127 kJ/mol of formula units
- SG: No. 10
- Calculated volume: 21.35 A^3/atom
- Formation energy from the elements: 0.42 eV per atom
- Theoretical density: 10.3 Mg/m³

Record 11
Compound: LiLu2Pt
Source: the Alexandria database
Functional: GGA-PBE
Structure: relaxed

The structure in POSCAR format:
```
LiLu2Pt
1.0
4.751 0.000 0.000
0.000 4.751 0.000
0.000 0.000 3.623
Li Lu Pt
1 2 1
direct
0.000 0.000 0.000
0.000 0.500 0.500
0.500 0.000 0.500
0.500 0.500 0.000
```

Output
- Energy: -19.8 eV per cell
- SG: No. 123
- Calculated volume: 20.44 A^3/atom
- Formation energy from the elements: -0.70 eV per atom
- Theoretical density: 11.2 Mg/m³

Record 12
Compound: AcPm3Dy6Ho2
Source: the Alexandria database
Functional: GGA-PBE
Structure: relaxed

The structure in POSCAR format:
```
AcPm3Dy6Ho2
1.0
3.121 -5.404 0.000
3.121 5.404 0.000
-2.074 0.000 11.739
Ac Pm Dy Ho
1 3 6 2
direct
0.000 0.000 0.000
0.167 0.833 0.500
0.500 0.500 0.500
0.833 0.167 0.500
0.084 0.421 0.251
0.252 0.252 0.748
0.421 0.084 0.251
0.579 0.916 0.749
0.748 0.748 0.252
0.916 0.579 0.749
0.333 0.667 0.000
0.667 0.333 0.000
```

Output
- Energy: -54.8 eV per cell
- SG: No. 12
- Calculated volume: 33.00 A^3/atom
- Formation energy from the elements: 0.03 eV per atom
- Theoretical density: 8.2 Mg/m³

Q: Among the records above, which one has the lowest theoretical density?
A: Mg3TiFe

Q: Which value of calculated volume does entry 12 give?
A: 33.00 A^3/atom

Q: Which formula does entry 10 have?
A: LaMo2Au